#w
## Tl2SnCl4 (PBE-GGA)

Data for crystalline Tl2SnCl4 at its relaxed geometry.

Lattice parameters (Å, degrees): 6.938 6.938 8.684 115.64 115.64 36.43
Fractional positions:
Tl (0.164, 0.164, 0.163)
Tl (0.836, 0.836, 0.837)
Sn (0.500, 0.500, 0.500)
Cl (0.157, 0.157, 0.554)
Cl (0.418, 0.418, 0.137)
Cl (0.582, 0.582, 0.863)
Cl (0.843, 0.843, 0.446)

Output
SG: C2/m, No. 12

=====

#x
## Tl2SnCl4 (PBE-GGA)

Data for crystalline Tl2SnCl4 at its relaxed geometry.

Lattice parameters (Å, degrees): 9.255 9.255 12.532 90.00 90.00 90.00
Fractional positions:
Tl (0.000, 0.265, 0.000)
Tl (0.000, 0.735, 0.500)
Tl (0.245, 0.245, 0.375)
Tl (0.245, 0.755, 0.125)
Tl (0.265, 0.000, 0.750)
Tl (0.735, 0.000, 0.250)
Tl (0.755, 0.245, 0.625)
Tl (0.755, 0.755, 0.875)
Sn (0.257, 0.500, 0.750)
Sn (0.500, 0.257, 0.000)
Sn (0.500, 0.743, 0.500)
Sn (0.743, 0.500, 0.250)
Cl (0.052, 0.289, 0.743)
Cl (0.052, 0.711, 0.757)
Cl (0.259, 0.490, 0.980)
Cl (0.259, 0.510, 0.520)
Cl (0.289, 0.052, 0.007)
Cl (0.289, 0.948, 0.493)
Cl (0.490, 0.259, 0.770)
Cl (0.490, 0.741, 0.730)
Cl (0.510, 0.259, 0.230)
Cl (0.510, 0.741, 0.270)
Cl (0.711, 0.052, 0.993)
Cl (0.711, 0.948, 0.507)
Cl (0.741, 0.490, 0.020)
Cl (0.741, 0.510, 0.480)
Cl (0.948, 0.289, 0.257)
Cl (0.948, 0.711, 0.243)

Output
SG: P4_122, No. 91

=====

Taking the most stable structure as the zero point, the relative energies in kJ/mol of atoms are #w 1.1; #x 0.0.

=====

#w
## V2SnCl (PBE-GGA)

Data for crystalline V2SnCl at its relaxed geometry.

Lattice parameters (Å, degrees): 8.408 8.408 8.408 148.37 148.37 45.33
Fractional positions:
V (0.375, 0.222, 0.347)
V (0.778, 0.125, 0.153)
V (0.875, 0.028, 0.653)
V (0.972, 0.625, 0.847)
Sn (0.250, 0.750, 0.500)
Sn (0.500, 0.500, 0.000)
Cl (0.000, 0.000, 0.000)
Cl (0.750, 0.250, 0.500)

Output
SG: I-42d, No. 122

=====

#x
## V2SnCl (PBE-GGA)

Data for crystalline V2SnCl at its relaxed geometry.

Lattice parameters (Å, degrees): 4.570 4.570 4.570 60.00 60.00 60.00
Fractional positions:
V (0.250, 0.250, 0.250)
V (0.750, 0.750, 0.750)
Sn (0.000, 0.000, 0.000)
Cl (0.500, 0.500, 0.500)

Output
SG: Fm-3m, No. 225

=====

Taking the most stable structure as the zero point, the relative energies in kJ/mol of atoms are #w 7.4; #x 0.0.

=====

#w
## VSn2Cl2 (PBE-GGA)

Data for crystalline VSn2Cl2 at its relaxed geometry.

Lattice parameters (Å, degrees): 8.695 8.695 3.276 90.00 90.00 90.00
Fractional positions:
V (0.000, 0.000, 0.000)
V (0.500, 0.500, 0.000)
Sn (0.209, 0.291, 0.500)
Sn (0.291, 0.791, 0.500)
Sn (0.709, 0.209, 0.500)
Sn (0.791, 0.709, 0.500)
Cl (0.118, 0.618, 0.000)
Cl (0.382, 0.118, 0.000)
Cl (0.618, 0.882, 0.000)
Cl (0.882, 0.382, 0.000)

Output
SG: P4/mbm, No. 127

=====

#x
## VSn2Cl2 (PBE-GGA)

Data for crystalline VSn2Cl2 at its relaxed geometry.

Lattice parameters (Å, degrees): 10.115 10.115 10.115 157.68 157.68 31.78
Fractional positions:
V (0.000, 0.000, 0.000)
Sn (0.250, 0.750, 0.500)
Sn (0.750, 0.250, 0.500)
Cl (0.423, 0.423, 0.000)
Cl (0.577, 0.577, 0.000)

Output
SG: I4/mmm, No. 139

=====

Taking the most stable structure as the zero point, the relative energies in kJ/mol of atoms are #w 0.0; #x 2.8.

=====

#w
## V3SnCl (PBE-GGA)

Data for crystalline V3SnCl at its relaxed geometry.

Lattice parameters (Å, degrees): 5.210 5.210 5.210 90.00 90.00 90.00
Fractional positions:
V (0.000, 0.000, 0.500)
V (0.000, 0.500, 0.000)
V (0.500, 0.000, 0.000)
Sn (0.000, 0.000, 0.000)
Cl (0.500, 0.500, 0.500)

Output
SG: Pm-3m, No. 221

=====

#x
## V3SnCl (PBE-GGA)

Data for crystalline V3SnCl at its relaxed geometry.

Lattice parameters (Å, degrees): 4.305 4.305 4.305 90.00 90.00 90.00
Fractional positions:
V (0.000, 0.000, 0.500)
V (0.000, 0.500, 0.000)
V (0.500, 0.000, 0.000)
Sn (0.500, 0.500, 0.500)
Cl (0.000, 0.000, 0.000)

Output
SG: Pm-3m, No. 221

=====

Taking the most stable structure as the zero point, the relative energies in kJ/mol of atoms are #w 91.2; #x 0.0.

=====

#w
## SnWCl3 (PBE-GGA)

Data for crystalline SnWCl3 at its relaxed geometry.

Lattice parameters (Å, degrees): 4.936 4.936 4.936 90.00 90.00 90.00
Fractional positions:
Sn (0.000, 0.000, 0.000)
W (0.500, 0.500, 0.500)
Cl (0.000, 0.500, 0.500)
Cl (0.500, 0.000, 0.500)
Cl (0.500, 0.500, 0.000)

Output
SG: Pm-3m, No. 221

=====

#x
## SnWCl3 (PBE-GGA)

Data for crystalline SnWCl3 at its relaxed geometry.

Lattice parameters (Å, degrees): 5.430 5.430 5.430 90.00 90.00 90.00
Fractional positions:
Sn (0.000, 0.000, 0.000)
W (0.500, 0.500, 0.500)
Cl (0.000, 0.000, 0.500)
Cl (0.000, 0.500, 0.000)
Cl (0.500, 0.000, 0.000)

Output
SG: Pm-3m, No. 221

=====

Taking the most stable structure as the zero point, the relative energies in kJ/mol of atoms are #w 0.0; #x 47.8.

=====

#w
## Sn2WCl (PBE-GGA)

Data for crystalline Sn2WCl at its relaxed geometry.

Lattice parameters (Å, degrees): 7.902 7.902 7.902 132.02 132.02 70.20
Fractional positions:
Sn (0.079, 0.625, 0.954)
Sn (0.375, 0.329, 0.454)
Sn (0.671, 0.125, 0.046)
Sn (0.875, 0.921, 0.546)
W (0.000, 0.000, 0.000)
W (0.750, 0.250, 0.500)
Cl (0.250, 0.750, 0.500)
Cl (0.500, 0.500, 0.000)

Output
SG: I-42d, No. 122

=====

#x
## Sn2WCl (PBE-GGA)

Data for crystalline Sn2WCl at its relaxed geometry.

Lattice parameters (Å, degrees): 5.018 5.018 5.018 60.00 60.00 60.00
Fractional positions:
Sn (0.250, 0.250, 0.250)
Sn (0.750, 0.750, 0.750)
W (0.000, 0.000, 0.000)
Cl (0.500, 0.500, 0.500)

Output
SG: Fm-3m, No. 225

=====

Taking the most stable structure as the zero point, the relative energies in kJ/mol of atoms are #w 1.9; #x 0.0.

=====

#w
## YSn2Cl8 (PBE-GGA)

Data for crystalline YSn2Cl8 at its relaxed geometry.

Lattice parameters (Å, degrees): 7.694 7.694 7.767 103.84 103.84 66.36
Fractional positions:
Y (0.000, 0.000, 0.000)
Sn (0.130, 0.130, 0.609)
Sn (0.870, 0.870, 0.391)
Cl (0.129, 0.700, 0.177)
Cl (0.175, 0.175, 0.278)
Cl (0.300, 0.871, 0.823)
Cl (0.320, 0.320, 0.746)
Cl (0.680, 0.680, 0.254)
Cl (0.700, 0.129, 0.177)
Cl (0.825, 0.825, 0.722)
Cl (0.871, 0.300, 0.823)

Output
SG: C2/m, No. 12

=====

#x
## YSn2Cl8 (PBE-GGA)

Data for crystalline YSn2Cl8 at its relaxed geometry.

Lattice parameters (Å, degrees): 7.555 7.555 7.165 106.16 106.16 71.89
Fractional positions:
Y (0.000, 0.000, 0.000)
Sn (0.343, 0.343, 0.785)
Sn (0.657, 0.657, 0.215)
Cl (0.043, 0.655, 0.762)
Cl (0.118, 0.118, 0.750)
Cl (0.345, 0.957, 0.238)
Cl (0.417, 0.417, 0.160)
Cl (0.583, 0.583, 0.840)
Cl (0.655, 0.043, 0.762)
Cl (0.882, 0.882, 0.250)
Cl (0.957, 0.345, 0.238)

Output
SG: C2/m, No. 12

=====

Taking the most stable structure as the zero point, the relative energies in kJ/mol of atoms are #w 2.3; #x 0.0.

=====

#w
## ZnSn2Cl (PBE-GGA)

Data for crystalline ZnSn2Cl at its relaxed geometry.

Lattice parameters (Å, degrees): 8.089 8.089 8.089 134.99 134.99 65.55
Fractional positions:
Zn (0.000, 0.000, 0.000)
Zn (0.750, 0.250, 0.500)
Sn (0.082, 0.625, 0.957)
Sn (0.375, 0.332, 0.457)
Sn (0.668, 0.125, 0.043)
Sn (0.875, 0.918, 0.543)
Cl (0.250, 0.750, 0.500)
Cl (0.500, 0.500, 0.000)

Output
SG: I-42d, No. 122

=====

#x
## ZnSn2Cl (PBE-GGA)

Data for crystalline ZnSn2Cl at its relaxed geometry.

Lattice parameters (Å, degrees): 5.083 5.083 5.083 60.00 60.00 60.00
Fractional positions:
Zn (0.000, 0.000, 0.000)
Sn (0.250, 0.250, 0.250)
Sn (0.750, 0.750, 0.750)
Cl (0.500, 0.500, 0.500)

Output
SG: Fm-3m, No. 225

=====

Taking the most stable structure as the zero point, the relative energies in kJ/mol of atoms are #w 9.8; #x 0.0.

=====

#w
## Zn3SnCl (PBE-GGA)

Data for crystalline Zn3SnCl at its relaxed geometry.

Lattice parameters (Å, degrees): 5.238 5.238 5.238 90.00 90.00 90.00
Fractional positions:
Zn (0.000, 0.000, 0.500)
Zn (0.000, 0.500, 0.000)
Zn (0.500, 0.000, 0.000)
Sn (0.000, 0.000, 0.000)
Cl (0.500, 0.500, 0.500)

Output
SG: Pm-3m, No. 221

=====

#x
## Zn3SnCl (PBE-GGA)

Data for crystalline Zn3SnCl at its relaxed geometry.

Lattice parameters (Å, degrees): 4.978 4.978 4.978 90.00 90.00 90.00
Fractional positions:
Zn (0.000, 0.000, 0.500)
Zn (0.000, 0.500, 0.000)
Zn (0.500, 0.000, 0.000)
Sn (0.500, 0.500, 0.500)
Cl (0.000, 0.000, 0.000)

Output
SG: Pm-3m, No. 221

=====

Taking the most stable structure as the zero point, the relative energies in kJ/mol of atoms are #w 0.0; #x 37.0.

=====

#w
## ZnSn3Cl (PBE-GGA)

Data for crystalline ZnSn3Cl at its relaxed geometry.

Lattice parameters (Å, degrees): 5.404 5.404 5.404 90.00 90.00 90.00
Fractional positions:
Zn (0.000, 0.000, 0.000)
Sn (0.000, 0.500, 0.500)
Sn (0.500, 0.000, 0.500)
Sn (0.500, 0.500, 0.000)
Cl (0.500, 0.500, 0.500)

Output
SG: Pm-3m, No. 221

=====

#x
## ZnSn3Cl (PBE-GGA)

Data for crystalline ZnSn3Cl at its relaxed geometry.

Lattice parameters (Å, degrees): 5.305 5.305 5.305 90.00 90.00 90.00
Fractional positions:
Zn (0.000, 0.000, 0.000)
Sn (0.000, 0.000, 0.500)
Sn (0.000, 0.500, 0.000)
Sn (0.500, 0.000, 0.000)
Cl (0.500, 0.500, 0.500)

Output
SG: Pm-3m, No. 221

=====

Taking the most stable structure as the zero point, the relative energies in kJ/mol of atoms are #w 28.8; #x 0.0.

=====

#w
## ZrSn2Cl (PBE-GGA)

Data for crystalline ZrSn2Cl at its relaxed geometry.

Lattice parameters (Å, degrees): 11.772 11.772 11.772 159.69 159.69 28.87
Fractional positions:
Zr (0.000, 0.000, 0.000)
Zr (0.750, 0.250, 0.500)
Sn (0.115, 0.625, 0.990)
Sn (0.375, 0.365, 0.490)
Sn (0.635, 0.125, 0.010)
Sn (0.875, 0.885, 0.510)
Cl (0.250, 0.750, 0.500)
Cl (0.500, 0.500, 0.000)

Output
SG: I-42d, No. 122

=====

#x
## ZrSn2Cl (PBE-GGA)

Data for crystalline ZrSn2Cl at its relaxed geometry.

Lattice parameters (Å, degrees): 5.192 5.192 5.192 60.00 60.00 60.00
Fractional positions:
Zr (0.000, 0.000, 0.000)
Sn (0.250, 0.250, 0.250)
Sn (0.750, 0.750, 0.750)
Cl (0.500, 0.500, 0.500)

Output
SG: Fm-3m, No. 225

=====

Taking the most stable structure as the zero point, the relative energies in kJ/mol of atoms are #w 0.0; #x 16.0.

=====

#w
## ZrSnCl6 (PBE-GGA)

Data for crystalline ZrSnCl6 at its relaxed geometry.

Lattice parameters (Å, degrees): 6.983 6.983 6.676 97.64 97.64 122.46
Fractional positions:
Zr (0.000, 0.000, 0.000)
Sn (0.500, 0.500, 0.500)
Cl (0.076, 0.361, 0.226)
Cl (0.237, 0.237, 0.772)
Cl (0.361, 0.076, 0.226)
Cl (0.639, 0.924, 0.774)
Cl (0.763, 0.763, 0.228)
Cl (0.924, 0.639, 0.774)

Output
SG: C2/m, No. 12

=====

#x
## ZrSnCl6 (PBE-GGA)

Data for crystalline ZrSnCl6 at its relaxed geometry.

Lattice parameters (Å, degrees): 7.223 7.223 7.223 55.30 55.30 55.30
Fractional positions:
Zr (0.000, 0.000, 0.000)
Sn (0.500, 0.500, 0.500)
Cl (0.072, 0.776, 0.387)
Cl (0.224, 0.613, 0.928)
Cl (0.387, 0.072, 0.776)
Cl (0.613, 0.928, 0.224)
Cl (0.776, 0.387, 0.072)
Cl (0.928, 0.224, 0.613)

Output
SG: R-3, No. 148

=====

Taking the most stable structure as the zero point, the relative energies in kJ/mol of atoms are #w 0.0; #x 0.9.